1.
Entry from Alexandria: a crystal of CuSnSe2Br relaxed with PBEsol (SCAN).

Results
Symmetry = No. 123
ρ = 4.8 Mg/m³
Total DFT energy (no corrections) = -108.06 eV/f.u.

Structure (POSCAR):
```
CuSnSe2Br
1.0
-3.852 2.089 -2.786
-1.753 -4.753 -1.139
-3.117 0.099 4.383
Cu Se Sn Br
1 2 1 1
direct
0.500 0.500 0.500
0.000 0.500 0.000
0.500 0.000 0.000
0.000 0.000 0.000
0.000 0.000 0.500
```

2.
Entry from Alexandria: a crystal of CuTcSeBr2 relaxed with PBEsol (SCAN).

Results
Symmetry = No. 123
ρ = 5.9 Mg/m³
Total DFT energy (no corrections) = -106.36 eV/f.u.

Structure (POSCAR):
```
CuTcSeBr2
1.0
4.786 0.000 0.000
0.000 4.786 0.000
0.000 0.000 4.945
Cu Se Tc Br
1 1 1 2
direct
0.000 0.000 0.000
0.000 0.000 0.500
0.500 0.500 0.500
0.000 0.500 0.000
0.500 0.000 0.000
```

3.
Entry from Alexandria: a crystal of CuWSeBr2 relaxed with PBEsol (SCAN).

Results
Symmetry = No. 123
ρ = 7.4 Mg/m³
Total DFT energy (no corrections) = -138.13 eV/f.u.

Structure (POSCAR):
```
CuWSeBr2
1.0
4.713 0.000 0.000
0.000 4.713 0.000
0.000 0.000 4.914
Cu Se Br W
1 1 2 1
direct
0.000 0.000 0.000
0.000 0.000 0.500
0.000 0.500 0.000
0.500 0.000 0.000
0.500 0.500 0.500
```

4.
Entry from Alexandria: a crystal of YCuSeBr2 relaxed with PBEsol (SCAN).

Results
Symmetry = No. 123
ρ = 4.1 Mg/m³
Total DFT energy (no corrections) = -105.55 eV/f.u.

Structure (POSCAR):
```
YCuSeBr2
1.0
5.386 0.000 0.000
0.000 5.386 0.000
0.000 0.000 5.501
Y Cu Se Br
1 1 1 2
direct
0.000 0.000 0.000
0.500 0.500 0.500
0.000 0.000 0.500
0.000 0.500 0.000
0.500 0.000 0.000
```